A plane-wave DFT calculation with PBE was carried out for an optimized crystal structure of PmPaCuP.

The density is 9281 kg/m³. As for the energy: -25.1 eV per formula unit. The volume is 21.047 Å³ per atom. The formation energy comes out at -335 meV per atom. As for the space group: F-43m, No. 216.

Lattice parameters (Å, degrees): 6.9572 6.9572 6.9572 90.00 90.00 90.00
Closest atoms and distances in Å follow each position.
Positions (direct):
Pm 0.0000 0.0000 0.0000  4 Cu 3.01, 4 P 3.01
Pm 0.0000 0.5000 0.5000  4 Cu 3.01, 4 P 3.01
Pm 0.5000 0.0000 0.5000  4 Cu 3.01, 4 P 3.01
Pm 0.5000 0.5000 0.0000  4 Cu 3.01, 4 P 3.01
Pa 0.0000 0.0000 0.5000  4 P 3.01, 4 Cu 3.01
Pa 0.0000 0.5000 0.0000  4 P 3.01, 4 Cu 3.01
Pa 0.5000 0.0000 0.0000  4 P 3.01, 4 Cu 3.01
Pa 0.5000 0.5000 0.5000  4 P 3.01, 4 Cu 3.01
Cu 0.2500 0.2500 0.2500  4 Pa 3.01, 4 Pm 3.01
Cu 0.2500 0.7500 0.7500  4 Pa 3.01, 4 Pm 3.01
Cu 0.7500 0.2500 0.7500  4 Pa 3.01, 4 Pm 3.01
Cu 0.7500 0.7500 0.2500  4 Pa 3.01, 4 Pm 3.01
P 0.2500 0.2500 0.7500  4 Pa 3.01, 4 Pm 3.01
P 0.2500 0.7500 0.2500  4 Pa 3.01, 4 Pm 3.01
P 0.7500 0.2500 0.2500  4 Pa 3.01, 4 Pm 3.01
P 0.7500 0.7500 0.7500  4 Pa 3.01, 4 Pm 3.01